VASP calculation (PBE) on a geometry-optimized Li4Ce2Sn2Sb3 structure.

a = 14.6466 Å, b = 14.6466 Å, c = 14.6466 Å
α = 162.85°, β = 162.85°, γ = 24.35°
With the nearest neighbours (Å) after each atom.
Atoms (fractional coordinates):
Li (0.1114, 0.6114, 0.5000)  2 Sn 2.83, 2 Sb 2.85, 4 Li 3.09
Li (0.3886, 0.8886, 0.5000)  2 Sn 2.83, 2 Sb 2.85, 4 Li 3.09
Li (0.6114, 0.1114, 0.5000)  2 Sn 2.83, 2 Sb 2.85, 4 Li 3.09
Li (0.8886, 0.3886, 0.5000)  2 Sn 2.83, 2 Sb 2.85, 4 Li 3.09
Ce (0.2103, 0.2103, 0.0000)  5 Sb 3.25-3.28, 4 Li 3.58
Ce (0.7897, 0.7897, 0.0000)  5 Sb 3.25-3.28, 4 Li 3.58
Sn (0.0486, 0.0486, 0.0000)  1 Sn 2.78, 4 Li 2.83
Sn (0.9514, 0.9514, 0.0000)  1 Sn 2.78, 4 Li 2.83
Sb (0.3248, 0.3248, 0.0000)  4 Li 2.85
Sb (0.5000, 0.5000, 0.0000)  8 Sn 3.39
Sb (0.6752, 0.6752, 0.0000)  4 Li 2.85

Properties
**Formation energy from raw total energies**: -0.446 eV/atom
**Crystal system**: tetragonal
**Space-group type**: I4/mmm


VASP calculation (PBE) on a geometry-optimized LiCeYSb structure.

a = 5.2793 Å, b = 5.2793 Å, c = 5.2793 Å
α = 60.00°, β = 60.00°, γ = 60.00°
With the nearest neighbours (Å) after each atom.
Atoms (fractional coordinates):
Li (0.0000, 0.0000, 0.0000)  4 Ce 3.23, 4 Y 3.23
Ce (0.7500, 0.7500, 0.7500)  4 Li 3.23, 4 Sb 3.23
Y (0.2500, 0.2500, 0.2500)  4 Sb 3.23, 4 Li 3.23
Sb (0.5000, 0.5000, 0.5000)  4 Ce 3.23, 4 Y 3.23

Properties
**Formation energy from raw total energies**: -0.405 eV/atom
**Crystal system**: cubic
**Space-group type**: F-43m


VASP calculation (PBE) on a geometry-optimized LiCeSc2 structure.

a = 11.4642 Å, b = 11.4642 Å, c = 11.4642 Å
α = 15.51°, β = 15.51°, γ = 15.51°
With the nearest neighbours (Å) after each atom.
Atoms (fractional coordinates):
Li (0.0000, 0.0000, 0.0000)  6 Li 3.09, 6 Sc 3.20
Ce (0.5000, 0.5000, 0.5000)  2 Sc 3.01, 6 Ce 3.09
Sc (0.4115, 0.4115, 0.4115)  1 Ce 3.01, 6 Sc 3.09, 3 Li 3.20
Sc (0.5885, 0.5885, 0.5885)  1 Ce 3.01, 6 Sc 3.09, 3 Li 3.20

Properties
**ΔE_f**: 0.21 eV/atom
**Energy relative to the lowest polymorph listed for this composition**: 75 meV/atom
**Crystal system**: trigonal
**Space-group type**: R-3m


VASP calculation (PBE) on a geometry-optimized LiCeSc2 structure.

a = 3.4696 Å, b = 3.4696 Å, c = 7.8272 Å
α = 90.00°, β = 90.00°, γ = 90.00°
With the nearest neighbours (Å) after each atom.
Atoms (fractional coordinates):
Li (0.0000, 0.0000, 0.0000)  8 Sc 3.01
Ce (0.0000, 0.0000, 0.5000)  8 Sc 3.28, 4 Ce 3.47
Sc (0.5000, 0.5000, 0.2227)  4 Li 3.01, 4 Ce 3.28
Sc (0.5000, 0.5000, 0.7773)  4 Li 3.01, 4 Ce 3.28

Properties
**ΔE_f**: 0.13 eV/atom
**Energy relative to the lowest polymorph listed for this composition**: 0 meV/atom
**Crystal system**: tetragonal
**Space-group type**: P4/mmm


VASP calculation (PBE) on a geometry-optimized LiCeSc structure.

a = 7.7152 Å, b = 7.7152 Å, c = 7.7152 Å
α = 156.41°, β = 156.41°, γ = 33.61°
With the nearest neighbours (Å) after each atom.
Atoms (fractional coordinates):
Li (0.0000, 0.0000, 0.0000)  4 Li 3.15, 4 Sc 3.24, 4 Ce 3.42
Ce (0.6754, 0.6754, 0.0000)  4 Ce 3.15, 4 Sc 3.31, 4 Li 3.42
Sc (0.3410, 0.3410, 0.0000)  4 Sc 3.15, 4 Li 3.24, 4 Ce 3.31

Properties
**ΔE_f**: 0.17 eV/atom
**Energy relative to the lowest polymorph listed for this composition**: 46 meV/atom
**Crystal system**: tetragonal
**Space-group type**: I4mm


VASP calculation (PBE) on a geometry-optimized LiCeSc structure.

a = 3.1500 Å, b = 3.1500 Å, c = 14.8634 Å
α = 90.00°, β = 90.00°, γ = 90.00°
With the nearest neighbours (Å) after each atom.
Atoms (fractional coordinates):
Li (0.2500, 0.2500, 0.0686)  8 Li 3.02-3.15
Li (0.7500, 0.7500, 0.9314)  8 Li 3.02-3.15
Ce (0.2500, 0.2500, 0.7539)  4 Ce 3.15, 4 Sc 3.37, 4 Li 3.45
Ce (0.7500, 0.7500, 0.2461)  4 Ce 3.15, 4 Sc 3.37, 4 Li 3.45
Sc (0.2500, 0.2500, 0.4166)  8 Sc 3.15-3.33, 4 Ce 3.37
Sc (0.7500, 0.7500, 0.5834)  8 Sc 3.15-3.33, 4 Ce 3.37

Properties
**ΔE_f**: 0.12 eV/atom
**Energy relative to the lowest polymorph listed for this composition**: 0 meV/atom
**Crystal system**: tetragonal
**Space-group type**: P4/nmm


VASP calculation (PBE) on a geometry-optimized LiCeSc2 structure.

a = 5.2870 Å, b = 5.2870 Å, c = 3.4183 Å
α = 90.00°, β = 90.00°, γ = 90.00°
With the nearest neighbours (Å) after each atom.
Atoms (fractional coordinates):
Li (0.0000, 0.0000, 0.0000)  8 Sc 3.15, 2 Li 3.42
Ce (0.5000, 0.5000, 0.0000)  8 Sc 3.15, 2 Ce 3.42
Sc (0.0000, 0.5000, 0.5000)  4 Ce 3.15, 4 Li 3.15, 2 Sc 3.42
Sc (0.5000, 0.0000, 0.5000)  4 Ce 3.15, 4 Li 3.15, 2 Sc 3.42

Properties
**ΔE_f**: 0.22 eV/atom
**Energy relative to the lowest polymorph listed for this composition**: 84 meV/atom
**Crystal system**: tetragonal
**Space-group type**: P4/mmm


VASP calculation (PBE) on a geometry-optimized LiCeSc structure.

a = 3.2041 Å, b = 3.2041 Å, c = 8.3071 Å
α = 90.00°, β = 90.00°, γ = 120.00°
With the nearest neighbours (Å) after each atom.
Atoms (fractional coordinates):
Li (0.0000, 0.0000, 0.0000)  6 Li 3.20, 3 Sc 3.24, 3 Ce 3.45
Ce (0.3333, 0.6667, 0.6492)  6 Ce 3.20, 3 Sc 3.30, 3 Li 3.45
Sc (0.6667, 0.3333, 0.3208)  6 Sc 3.20, 3 Li 3.24, 3 Ce 3.30

Properties
**ΔE_f**: 0.14 eV/atom
**Energy relative to the lowest polymorph listed for this composition**: 23 meV/atom
**Crystal system**: trigonal
**Space-group type**: P3m1


VASP calculation (PBE) on a geometry-optimized Li3CeSc2Se6 structure.

a = 6.9050 Å, b = 6.9050 Å, c = 6.8411 Å
α = 99.70°, β = 99.70°, γ = 120.03°
With the nearest neighbours (Å) after each atom.
Atoms (fractional coordinates):
Li (0.0000, 0.0000, 0.0000)  6 Se 2.71-2.87
Li (0.3335, 0.6665, 0.0000)  6 Se 2.71-2.88
Li (0.6665, 0.3335, 0.0000)  6 Se 2.71-2.88
Ce (0.5000, 0.5000, 0.5000)  6 Se 2.91
Sc (0.1668, 0.8332, 0.5000)  6 Se 2.75-2.76
Sc (0.8332, 0.1668, 0.5000)  6 Se 2.75-2.76
Se (0.0652, 0.4175, 0.2527)  3 Li 2.71-2.88, 2 Sc 2.75, 1 Ce 2.91
Se (0.2313, 0.2313, 0.7497)  3 Li 2.71-2.86, 2 Sc 2.76, 1 Ce 2.91
Se (0.4175, 0.0652, 0.2527)  3 Li 2.71-2.88, 2 Sc 2.75, 1 Ce 2.91
Se (0.5825, 0.9348, 0.7473)  3 Li 2.71-2.88, 2 Sc 2.75, 1 Ce 2.91
Se (0.7687, 0.7687, 0.2503)  3 Li 2.71-2.86, 2 Sc 2.76, 1 Ce 2.91
Se (0.9348, 0.5825, 0.7473)  3 Li 2.71-2.88, 2 Sc 2.75, 1 Ce 2.91

Properties
**Formation energy from raw total energies**: -1.584 eV/atom
**Crystal system**: monoclinic
**Space-group type**: C2/m


VASP calculation (PBE) on a geometry-optimized LiCe2Sc3Se6 structure.

a = 6.9008 Å, b = 6.9008 Å, c = 6.9784 Å
α = 99.53°, β = 99.53°, γ = 120.04°
With the nearest neighbours (Å) after each atom.
Atoms (fractional coordinates):
Li (0.0000, 0.0000, 0.0000)  6 Se 2.82-2.83
Ce (0.3342, 0.6658, 0.0000)  6 Se 2.92-2.94
Ce (0.6658, 0.3342, 0.0000)  6 Se 2.92-2.94
Sc (0.1676, 0.8324, 0.5000)  6 Se 2.73-2.82
Sc (0.5000, 0.5000, 0.5000)  6 Se 2.73-2.85
Sc (0.8324, 0.1676, 0.5000)  6 Se 2.73-2.82
Se (0.0891, 0.4104, 0.2678)  3 Sc 2.73-2.82, 1 Li 2.83, 2 Ce 2.93-2.94
Se (0.2313, 0.2313, 0.7343)  3 Sc 2.74-2.85, 1 Li 2.82, 2 Ce 2.92
Se (0.4104, 0.0891, 0.2678)  3 Sc 2.73-2.82, 1 Li 2.83, 2 Ce 2.93-2.94
Se (0.5896, 0.9109, 0.7322)  3 Sc 2.73-2.82, 1 Li 2.83, 2 Ce 2.93-2.94
Se (0.7687, 0.7687, 0.2657)  3 Sc 2.74-2.85, 1 Li 2.82, 2 Ce 2.92
Se (0.9109, 0.5896, 0.7322)  3 Sc 2.73-2.82, 1 Li 2.83, 2 Ce 2.93-2.94

Properties
**Formation energy from raw total energies**: -1.658 eV/atom
**Crystal system**: monoclinic
**Space-group type**: C2/m


Number 1: total magnetization 0.31 μB per atom, uncorrected energy -44.798 eV for the cell shown, V 273.2 Å³ per cell. Number 2: total magnetization 0.39 μB per atom, uncorrected energy -20.056 eV for the cell shown, V 104.0 Å³ per cell. Number 3: total magnetization 0.00 μB per atom, uncorrected energy -19.674 eV for the cell shown, V 93.9 Å³ per cell. Number 4: total magnetization 0.05 μB per atom, uncorrected energy -19.974 eV for the cell shown, V 94.2 Å³ per cell. Number 5: total magnetization 0.23 μB per atom, uncorrected energy -13.680 eV for the cell shown, V 73.5 Å³ per cell. Number 6: total magnetization 0.24 μB per atom, uncorrected energy -27.632 eV for the cell shown, V 147.5 Å³ per cell. Number 7: total magnetization 0.05 μB per atom, uncorrected energy -19.636 eV for the cell shown, V 95.6 Å³ per cell. Number 8: total magnetization 0.10 μB per atom, uncorrected energy -13.747 eV for the cell shown, V 73.9 Å³ per cell. Number 9: total magnetization 0.08 μB per atom, uncorrected energy -64.258 eV for the cell shown, V 265.9 Å³ per cell. Number 10: total magnetization 0.17 μB per atom, uncorrected energy -73.573 eV for the cell shown, V 271.4 Å³ per cell.